# 1
Rb2ScReO6 | PBE | optimized geometry

Output
space group: No. 225
energy: -7.1622 eV per atom
magnetization: 0.0 μB/f.u.

abc: 5.7199 5.7199 5.7199
angles: 60.00 60.00 60.00
Positions (direct):
1 Sc 0.5000 0.5000 0.5000
2 O 0.2355 0.7645 0.7645
3 O 0.7645 0.2355 0.2355
4 O 0.7645 0.2355 0.7645
5 O 0.7645 0.7645 0.2355
6 O 0.2355 0.7645 0.2355
7 O 0.2355 0.2355 0.7645
8 Re 0.0000 0.0000 0.0000
9 Rb 0.2500 0.2500 0.2500
10 Rb 0.7500 0.7500 0.7500


# 2
CuBiPF | PBE | optimized geometry

Output
space group: No. 129
offset from the most stable computed form: 47 meV per atom
energy: -4.4423 eV per atom

abc: 3.8097 3.8097 8.8488
angles: 90.00 90.00 90.00
Positions (direct):
1 Cu 0.5000 0.0000 0.5000
2 F 0.0000 0.5000 0.0000
3 P 0.0000 0.0000 0.3273
4 Bi 0.5000 0.5000 0.1918
5 P 0.5000 0.5000 0.6727
6 Cu 0.0000 0.5000 0.5000
7 F 0.5000 0.0000 0.0000
8 Bi 0.0000 0.0000 0.8082


Q: Which value of energy does entry 2 give?
A: -4.4423 eV per atom